Entry 1:
CaTa2CuN4 after structural relaxation. Source: Alexandria via LeMat-Bulk, functional PBE-GGA.

The space group is Cmcm (No. 63) and the conventional cell measures 3.196, 10.538 and 10.929 Å, with angles of 90.00, 90.00 and 90.00 degrees. The asymmetric unit holds Ca at (0.000, 0.104, 0.250), Ta at (0.000, 0.371, 0.055), Cu at (0.000, 0.169, 0.750), N at (0.000, 0.000, 0.000), N at (0.000, 0.272, 0.604) and N at (0.000, 0.442, 0.250).

For the calculated density, the calculation gives 9.41 g/cm3. The crystal system is orthorhombic. The electronic total energy comes out at -8.73 eV/atom. The calculation puts the formation energy from raw total energies at -6.8 eV per formula unit. The calculation puts the size of the total moment at 0.00 μB per formula unit.



Entry 2:
Ca4Ta3CuN8 after structural relaxation. Source: Alexandria via LeMat-Bulk, functional PBE-GGA.

The space group is R-3m (No. 166, hexagonal axes) and the conventional cell measures 6.4330, 6.4330 and 16.4934 Å, with angles of 90.00, 90.00 and 120.00 degrees. The asymmetric unit holds Ca at (0.0000, 0.0000, 0.0000), Ca at (0.0000, 0.5000, 0.0000), Ta at (0.0000, 0.5000, 0.5000), Cu at (0.0000, 0.0000, 0.5000), N at (0.0000, 0.0000, 0.2381) and N at (0.0209, 0.5104, 0.7637).

For the calculated density, the calculation gives 7.41 g/cm3. The crystal system is trigonal. The electronic total energy comes out at -8.12 eV/atom. The calculation puts the formation energy from raw total energies at -15.6 eV per formula unit. The calculation puts the size of the total moment at 0.39 μB per formula unit.



Entry 3:
Ca2CuTcN after structural relaxation. Source: Alexandria via LeMat-Bulk, functional PBE-GGA.

The space group is P4/mmm (No. 123) and the conventional cell measures 4.940, 4.940 and 3.866 Å, with angles of 90.00, 90.00 and 90.00 degrees. The asymmetric unit holds Ca at (0.000, 0.500, 0.000), Cu at (0.000, 0.000, 0.500), Tc at (0.500, 0.500, 0.500) and N at (0.500, 0.500, 0.000).

For the calculated density, the calculation gives 4.50 g/cm3. The crystal system is tetragonal. The electronic total energy comes out at -5.59 eV/atom. The calculation puts the formation energy from raw total energies at -1.1 eV per formula unit. The calculation puts the size of the total moment at 0.00 μB per formula unit.



Entry 4:
CaCuTeN2 after structural relaxation. Source: Alexandria via LeMat-Bulk, functional PBE-GGA.

The space group is P4/mmm (No. 123) and the conventional cell measures 4.168, 4.168 and 5.304 Å, with angles of 90.00, 90.00 and 90.00 degrees. The asymmetric unit holds Ca at (0.000, 0.000, 0.000), Cu at (0.500, 0.500, 0.500), Te at (0.500, 0.500, 0.000) and N at (0.000, 0.500, 0.500).

Its energy above the most stable polymorph in this dataset is 0.0 meV/atom. For the calculated density, the calculation gives 4.67 g/cm3. The crystal system is tetragonal. The electronic total energy comes out at -4.29 eV/atom. The calculation puts the formation energy from raw total energies at 4.4 eV per formula unit. The calculation puts the size of the total moment at 3.09 μB per formula unit.



Entry 5:
Ca2CuTeN after structural relaxation. Source: Alexandria via LeMat-Bulk, functional PBE-GGA.

The space group is P4/mmm (No. 123) and the conventional cell measures 5.084, 5.084 and 3.896 Å, with angles of 90.00, 90.00 and 90.00 degrees. The asymmetric unit holds Ca at (0.000, 0.500, 0.000), Cu at (0.000, 0.000, 0.500), Te at (0.500, 0.500, 0.500) and N at (0.000, 0.000, 0.000).

For the calculated density, the calculation gives 4.70 g/cm3. The crystal system is tetragonal. The electronic total energy comes out at -4.81 eV/atom. The calculation puts the formation energy from raw total energies at -4.5 eV per formula unit. The calculation puts the size of the total moment at 0.00 μB per formula unit.



Entry 6:
CaCuTeN2 after structural relaxation. Source: Alexandria via LeMat-Bulk, functional PBE-GGA.

The space group is P4/mmm (No. 123) and the conventional cell measures 4.455, 4.455 and 6.460 Å, with angles of 90.00, 90.00 and 90.00 degrees. The asymmetric unit holds Ca at (0.000, 0.000, 0.000), Cu at (0.500, 0.500, 0.500), Te at (0.000, 0.000, 0.500) and N at (0.000, 0.500, 0.000).

Its energy above the most stable polymorph in this dataset is 544.2 meV/atom. For the calculated density, the calculation gives 3.36 g/cm3. The crystal system is tetragonal. The electronic total energy comes out at -3.75 eV/atom. The calculation puts the formation energy from raw total energies at 7.2 eV per formula unit. The calculation puts the size of the total moment at 4.44 μB per formula unit.



> The highest electronic total energy belongs to which entry?

number 6



Please write out number 5 again, unchanged.
Ca2CuTeN after structural relaxation. Source: Alexandria via LeMat-Bulk, functional PBE-GGA.

The space group is P4/mmm (No. 123) and the conventional cell measures 5.084, 5.084 and 3.896 Å, with angles of 90.00, 90.00 and 90.00 degrees. The asymmetric unit holds Ca at (0.000, 0.500, 0.000), Cu at (0.000, 0.000, 0.500), Te at (0.500, 0.500, 0.500) and N at (0.000, 0.000, 0.000).

For the calculated density, the calculation gives 4.70 g/cm3. The crystal system is tetragonal. The electronic total energy comes out at -4.81 eV/atom. The calculation puts the formation energy from raw total energies at -4.5 eV per formula unit. The calculation puts the size of the total moment at 0.00 μB per formula unit.